Entry 1:
DFT (PBE) results for a relaxed BaLi2Ge2 crystal.

a b c (Å): 8.4091 8.4091 3.1062
angles (deg): 90.00 90.00 90.00
With the nearest neighbours (Å) after each atom.
Fractional coordinates of all 10 atoms:
Ba 0.5000 0.5000 0.0000  2 Ba 3.11, 4 Li 3.36
Ba 0.0000 0.0000 0.0000  2 Ba 3.11, 4 Li 3.36
Ge 0.3328 0.1672 0.5000  6 Li 2.89-2.99, 2 Ge 3.11
Ge 0.8328 0.3328 0.5000  6 Li 2.89-2.99, 2 Ge 3.11
Ge 0.6672 0.8328 0.5000  6 Li 2.89-2.99, 2 Ge 3.11
Ge 0.1672 0.6672 0.5000  6 Li 2.89-2.99, 2 Ge 3.11
Li 0.1181 0.3819 0.0000  3 Li 2.81-3.11, 6 Ge 2.89-2.99
Li 0.6181 0.1181 0.0000  3 Li 2.81-3.11, 6 Ge 2.89-2.99
Li 0.8819 0.6181 0.0000  3 Li 2.81-3.11, 6 Ge 2.89-2.99
Li 0.3819 0.8819 0.0000  3 Li 2.81-3.11, 6 Ge 2.89-2.99

The energy relative to the elements comes out at -255 meV per atom.

***

Entry 2:
DFT (PBE) results for a relaxed BaLi2Ge2 crystal.

a b c (Å): 8.3227 8.3227 3.4607
angles (deg): 90.00 90.00 90.00
With the nearest neighbours (Å) after each atom.
Fractional coordinates of all 10 atoms:
Ba 0.5000 0.5000 0.0000  4 Ge 3.37, 2 Ba 3.46, 8 Li 3.59
Ba 0.0000 0.0000 0.0000  4 Ge 3.37, 2 Ba 3.46, 8 Li 3.59
Ge 0.6105 0.1105 0.0000  1 Ge 2.60, 4 Li 2.83
Ge 0.1105 0.3895 0.0000  1 Ge 2.60, 4 Li 2.83
Ge 0.8895 0.6105 0.0000  1 Ge 2.60, 4 Li 2.83
Ge 0.3895 0.8895 0.0000  1 Ge 2.60, 4 Li 2.83
Li 0.1546 0.6546 0.5000  4 Ge 2.83
Li 0.8454 0.3454 0.5000  4 Ge 2.83
Li 0.3454 0.1546 0.5000  4 Ge 2.83
Li 0.6546 0.8454 0.5000  4 Ge 2.83

The energy relative to the elements comes out at -154 meV per atom.

***

Entry 3:
DFT (PBE) results for a relaxed Ba2LiGe2 crystal.

a b c (Å): 6.5654 6.6215 8.6102
angles (deg): 102.71 90.00 119.72
With the nearest neighbours (Å) after each atom.
Fractional coordinates of all 10 atoms:
Ba 0.4754 0.2848 0.1252  6 Ge 3.40-3.62, 2 Li 3.44-3.66
Ba 0.8094 0.2848 0.6252  6 Ge 3.40-3.62, 2 Li 3.44-3.66
Ba 0.5246 0.7152 0.8748  6 Ge 3.40-3.62, 2 Li 3.44-3.66
Ba 0.1906 0.7152 0.3748  6 Ge 3.40-3.62, 2 Li 3.44-3.66
Li 0.0726 0.0000 0.7500  4 Ge 2.88-3.13
Li 0.9274 0.0000 0.2500  4 Ge 2.88-3.13
Ge 0.3190 0.2997 0.5018  1 Ge 2.54
Ge 0.6810 0.7003 0.4982  1 Ge 2.54
Ge 0.9806 0.2997 0.0018  1 Ge 2.54
Ge 0.0194 0.7003 0.9982  1 Ge 2.54

The energy relative to the elements comes out at -429 meV per atom.

***

Entry 4:
DFT (PBE) results for a relaxed BaLi2Ge2 crystal.

a b c (Å): 4.7051 4.7051 6.2720
angles (deg): 67.97 67.97 90.00
With the nearest neighbours (Å) after each atom.
Fractional coordinates of all 5 atoms:
Ge 0.3855 0.3855 0.2289  1 Ge 2.43
Ge 0.6145 0.6145 0.7711  1 Ge 2.43
Li 0.7500 0.2500 0.5000  4 Ge 2.76
Li 0.2500 0.7500 0.5000  4 Ge 2.76
Ba 0.0000 0.0000 0.0000  8 Ge 3.54, 8 Li 3.55

The energy relative to the elements comes out at -438 meV per atom.

***

Entry 5:
DFT (PBE) results for a relaxed BaLiGe3 crystal.

a b c (Å): 4.7715 4.1991 12.9062
angles (deg): 90.00 100.65 90.00
With the nearest neighbours (Å) after each atom.
Fractional coordinates of all 10 atoms:
Ge 0.6359 0.7500 0.2717  3 Ge 2.53-2.73
Ge 0.3641 0.2500 0.7283  3 Ge 2.53-2.73
Ge 0.6917 0.2500 0.3835  2 Ge 2.53, 1 Li 2.68
Ge 0.4716 0.2500 0.9432  3 Ge 2.55-2.73
Ge 0.5284 0.7500 0.0568  3 Ge 2.55-2.73
Ge 0.3083 0.7500 0.6165  2 Ge 2.53, 1 Li 2.68
Li 0.7972 0.2500 0.5945  3 Ge 2.68-2.93
Li 0.2028 0.7500 0.4055  3 Ge 2.68-2.93
Ba 0.0794 0.2500 0.1588  12 Ge 3.43-3.72, 2 Li 3.77
Ba 0.9206 0.7500 0.8412  12 Ge 3.43-3.72, 2 Li 3.77

The energy relative to the elements comes out at -334 meV per atom.

***

Entry 6:
DFT (PBE) results for a relaxed BaLi2Ge crystal.

a b c (Å): 4.7023 4.7023 6.2524
angles (deg): 68.31 68.31 59.95
With the nearest neighbours (Å) after each atom.
Fractional coordinates of all 4 atoms:
Li 0.0077 0.0077 0.9780  3 Ge 2.73, 3 Li 2.76
Li 0.3117 0.3117 0.0668  3 Li 2.76, 3 Ge 2.83-2.84, 1 Ba 3.02
Ba 0.4878 0.4878 0.5323  1 Li 3.02
Ge 0.6927 0.6927 0.9229  6 Li 2.73-2.84

The energy relative to the elements comes out at -355 meV per atom.

***

Entry 7:
DFT (PBE) results for a relaxed BaLi3Ge crystal.

a b c (Å): 4.6150 7.9873 7.5090
angles (deg): 74.77 90.00 90.00
With the nearest neighbours (Å) after each atom.
Fractional coordinates of all 10 atoms:
Li 0.3817 0.4643 0.7709  1 Ge 2.58
Li 0.8817 0.2105 0.0343  1 Ge 2.58
Li 0.3808 0.9604 0.2954  1 Li 2.66, 3 Ge 2.72-2.74
Li 0.8809 0.7137 0.5115  1 Li 2.66, 3 Ge 2.73-2.74
Li 0.3809 0.9631 0.9405  1 Li 2.66, 3 Ge 2.73-2.75
Li 0.8808 0.7122 0.8659  1 Li 2.66, 3 Ge 2.73-2.75
Ge 0.8806 0.8754 0.1434  7 Li 2.58-2.75
Ge 0.3806 0.7994 0.6633  7 Li 2.58-2.75
Ba 0.8810 0.1110 0.5794  2 Ge 3.33, 7 Li 3.34-3.70
Ba 0.3809 0.5638 0.2258  2 Ge 3.33, 7 Li 3.34-3.70

The energy relative to the elements comes out at -241 meV per atom.

***

Entry 8:
DFT (PBE) results for a relaxed Ba2LiGe crystal.

a b c (Å): 4.1043 4.1043 8.9436
angles (deg): 90.00 90.00 90.00
With the nearest neighbours (Å) after each atom.
Fractional coordinates of all 4 atoms:
Ba 0.0000 0.0000 0.7899  4 Ge 3.46, 1 Ba 3.76
Ba 0.0000 0.0000 0.2101  4 Ge 3.46, 1 Ba 3.76
Ge 0.5000 0.5000 0.0000  8 Ba 3.46
Li 0.5000 0.5000 0.5000  8 Ba 3.89, 4 Li 4.10

The energy relative to the elements comes out at -237 meV per atom.

***

Entry 9:
DFT (PBE) results for a relaxed BaLi4Ge4 crystal.

a b c (Å): 3.9852 9.9022 9.9022
angles (deg): 90.00 90.00 90.00
With the nearest neighbours (Å) after each atom.
Fractional coordinates of all 18 atoms:
Ge 0.5000 0.7435 0.8283  2 Ge 2.53, 4 Li 2.57-2.66
Ge 0.5000 0.2565 0.1717  2 Ge 2.53, 4 Li 2.57-2.66
Ge 0.0000 0.6717 0.2435  2 Ge 2.53, 4 Li 2.57-2.66
Ge 0.5000 0.1717 0.7435  2 Ge 2.53, 4 Li 2.57-2.66
Ge 0.5000 0.8283 0.2565  2 Ge 2.53, 4 Li 2.57-2.66
Ge 0.0000 0.2435 0.3283  2 Ge 2.53, 4 Li 2.57-2.66
Ge 0.0000 0.3283 0.7565  2 Ge 2.53, 4 Li 2.57-2.66
Ge 0.0000 0.7565 0.6717  2 Ge 2.53, 4 Li 2.57-2.66
Li 0.5000 0.0679 0.3550  4 Ge 2.57-2.66
Li 0.0000 0.5679 0.8550  4 Ge 2.57-2.66
Li 0.0000 0.1450 0.5679  4 Ge 2.57-2.66
Li 0.5000 0.9321 0.6450  4 Ge 2.57-2.66
Li 0.0000 0.4321 0.1450  4 Ge 2.57-2.66
Li 0.5000 0.3550 0.9321  4 Ge 2.57-2.66
Li 0.5000 0.6450 0.0679  4 Ge 2.57-2.66
Li 0.0000 0.8550 0.4321  4 Ge 2.57-2.66
Ba 0.0000 0.0000 0.0000  12 Ge 3.65-4.05, 2 Ba 3.99
Ba 0.5000 0.5000 0.5000  12 Ge 3.65-4.05, 2 Ba 3.99

The energy relative to the elements comes out at -359 meV per atom.

***

Entry 10:
DFT (PBE) results for a relaxed Ba3Li3Ge8 crystal.

a b c (Å): 4.2376 9.2267 9.2267
angles (deg): 77.93 76.72 76.72
With the nearest neighbours (Å) after each atom.
Fractional coordinates of all 14 atoms:
Ge 0.6407 0.0601 0.6585  3 Ge 2.62-2.81, 2 Li 2.87
Ge 0.3593 0.3415 0.9399  3 Ge 2.62-2.81, 2 Li 2.87
Ge 0.1561 0.1758 0.5121  3 Ge 2.62-2.81, 1 Li 2.70
Ge 0.1561 0.5121 0.1758  3 Ge 2.62-2.81, 1 Li 2.70
Ge 0.8439 0.8242 0.4879  3 Ge 2.62-2.81, 1 Li 2.70
Ge 0.6407 0.6585 0.0601  3 Ge 2.62-2.81, 2 Li 2.87
Ge 0.8439 0.4879 0.8242  3 Ge 2.62-2.81, 1 Li 2.70
Ge 0.3593 0.9399 0.3415  3 Ge 2.62-2.81, 2 Li 2.87
Ba 0.7862 0.2138 0.2138  8 Ge 3.31-3.39, 4 Li 3.62-3.67
Ba 0.2138 0.7862 0.7862  8 Ge 3.31-3.39, 4 Li 3.62-3.67
Ba 0.5000 0.5000 0.5000  12 Ge 3.59-3.97, 2 Ba 3.92
Li 0.0000 0.1901 0.8099  6 Ge 2.70-2.87
Li 0.0000 0.8099 0.1901  6 Ge 2.70-2.87
Li 0.5000 0.0000 0.0000  4 Ge 3.02, 4 Li 3.06

The energy relative to the elements comes out at -354 meV per atom.

***

Entry 11:
DFT (PBE) results for a relaxed BaLi3Ge crystal.

a b c (Å): 4.9910 5.1831 11.2432
angles (deg): 76.67 90.00 90.00
With the nearest neighbours (Å) after each atom.
Fractional coordinates of all 10 atoms:
Li 0.2500 0.0280 0.4170  2 Li 2.45-2.73, 1 Ge 2.64
Li 0.2500 0.5550 0.4170  2 Li 2.45-2.73, 1 Ge 2.64
Li 0.5000 0.0000 0.0000  2 Li 2.50, 2 Ge 2.55
Li 0.7500 0.9720 0.5830  2 Li 2.45-2.73, 1 Ge 2.64
Li 0.0000 0.0000 0.0000  2 Li 2.50, 2 Ge 2.55
Li 0.7500 0.4450 0.5830  2 Li 2.45-2.73, 1 Ge 2.64
Ge 0.2500 0.8984 0.2033  4 Li 2.55-2.64
Ge 0.7500 0.1016 0.7967  4 Li 2.55-2.64
Ba 0.2500 0.6033 0.7933  4 Ge 3.60, 8 Li 3.66
Ba 0.7500 0.3967 0.2067  4 Ge 3.60, 8 Li 3.66

The energy relative to the elements comes out at -79 meV per atom.

***

Entry 12:
DFT (PBE) results for a relaxed BaLi3Ge crystal.

a b c (Å): 5.0145 5.0145 5.0145
angles (deg): 90.00 90.00 90.00
With the nearest neighbours (Å) after each atom.
Fractional coordinates of all 5 atoms:
Li 0.5000 0.0000 0.0000  2 Ge 2.51
Li 0.0000 0.0000 0.5000  2 Ge 2.51
Li 0.0000 0.5000 0.0000  2 Ge 2.51
Ge 0.0000 0.0000 0.0000  6 Li 2.51
Ba 0.5000 0.5000 0.5000  12 Li 3.55

The energy relative to the elements comes out at -210 meV per atom.

***

Entry 13:
DFT (PBE) results for a relaxed Ba2Li3MgGe4 crystal.

a b c (Å): 4.5550 4.5550 11.4457
angles (deg): 90.00 90.00 90.00
With the nearest neighbours (Å) after each atom.
Fractional coordinates of all 10 atoms:
Ge 0.5000 0.5000 0.0000  4 Li 2.70
Ge 0.0000 0.5000 0.3676  3 Li 2.74-2.76, 2 Mg 2.74
Ge 0.5000 0.0000 0.6324  3 Li 2.74-2.76, 2 Mg 2.74
Ge 0.0000 0.0000 0.0000  4 Li 2.70
Mg 0.5000 0.5000 0.5000  4 Ge 2.74
Ba 0.5000 0.0000 0.2462  6 Li 3.50-3.69, 8 Ge 3.51-3.62, 2 Mg 3.69
Ba 0.0000 0.5000 0.7538  6 Li 3.50-3.69, 8 Ge 3.51-3.62, 2 Mg 3.69
Li 0.0000 0.5000 0.1266  5 Ge 2.70-2.76
Li 0.5000 0.0000 0.8734  5 Ge 2.70-2.76
Li 0.0000 0.0000 0.5000  4 Ge 2.74

The energy relative to the elements comes out at -369 meV per atom.

***

Entry 14:
DFT (PBE) results for a relaxed Ba2LiMg3Ge4 crystal.

a b c (Å): 4.6856 4.6856 11.3363
angles (deg): 90.00 90.00 90.00
With the nearest neighbours (Å) after each atom.
Fractional coordinates of all 10 atoms:
Mg 0.5000 0.0000 0.8660  5 Ge 2.69-2.79
Mg 0.0000 0.5000 0.1340  5 Ge 2.69-2.79
Mg 0.0000 0.0000 0.5000  4 Ge 2.76
Ba 0.0000 0.5000 0.7446  8 Ge 3.56-3.72, 6 Mg 3.59-3.63, 2 Li 3.63
Ba 0.5000 0.0000 0.2554  8 Ge 3.56-3.72, 6 Mg 3.59-3.63, 2 Li 3.63
Ge 0.0000 0.5000 0.3711  3 Mg 2.69-2.76, 2 Li 2.76
Ge 0.5000 0.0000 0.6289  3 Mg 2.69-2.76, 2 Li 2.76
Ge 0.5000 0.5000 0.0000  4 Mg 2.79
Ge 0.0000 0.0000 0.0000  4 Mg 2.79
Li 0.5000 0.5000 0.5000  4 Ge 2.76

The energy relative to the elements comes out at -408 meV per atom.

***

Entry 15:
DFT (PBE) results for a relaxed BaLiMnGe2 crystal.

a b c (Å): 4.9868 5.1357 4.9868
angles (deg): 90.00 90.00 90.00
With the nearest neighbours (Å) after each atom.
Fractional coordinates of all 5 atoms:
Mn 0.5000 0.5000 0.5000  4 Ba 3.53, 8 Ge 3.58
Ge 0.0000 0.0000 0.5000  2 Li 2.49
Ge 0.5000 0.0000 0.0000  2 Li 2.49
Ba 0.0000 0.5000 0.0000  2 Li 2.57
Li 0.0000 0.0000 0.0000  4 Ge 2.49, 2 Ba 2.57

The energy relative to the elements comes out at 986 meV per atom.

***

Entry 16:
DFT (PBE) results for a relaxed BaLiGeN crystal.

a b c (Å): 4.0912 4.0912 5.9619
angles (deg): 110.07 110.07 90.00
With the nearest neighbours (Å) after each atom.
Fractional coordinates of all 4 atoms:
Ge 0.4131 0.4131 0.8262  1 N 1.82
Ba 0.7275 0.7275 0.4550  4 N 2.90
N 0.2383 0.2383 0.4765  1 Ge 1.82, 1 Li 1.95
Li 0.0515 0.0515 0.1030  1 N 1.95

Its formation energy (no corrections) is -0.44 eV per atom.

***

Entry 17:
DFT (PBE) results for a relaxed BaLiGeN2 crystal.

a b c (Å): 5.3187 6.5700 5.2568
angles (deg): 90.00 90.00 113.88
With the nearest neighbours (Å) after each atom.
Fractional coordinates of all 10 atoms:
Ge 0.7500 0.0000 0.0000  4 N 1.95
Ge 0.2500 0.0000 0.0000  4 N 1.95
Ba 0.7500 0.5000 0.7571  6 N 2.97-3.31, 2 Li 3.29
Ba 0.2500 0.5000 0.2429  6 N 2.97-3.31, 2 Li 3.29
Li 0.5000 0.0000 0.5000  2 N 1.97
Li 0.0000 0.0000 0.5000  2 N 1.97
N 0.5879 0.1759 0.1832  2 Ge 1.95, 1 Li 1.97
N 0.0879 0.1759 0.8168  2 Ge 1.95, 1 Li 1.97
N 0.9121 0.8241 0.1832  2 Ge 1.95, 1 Li 1.97
N 0.4121 0.8241 0.8168  2 Ge 1.95, 1 Li 1.97

Its formation energy (no corrections) is -0.11 eV per atom.

***

Entry 18:
DFT (PBE) results for a relaxed BaNaLi2Ge crystal.

a b c (Å): 5.1214 5.1214 5.5579
angles (deg): 90.00 90.00 90.00
With the nearest neighbours (Å) after each atom.
Fractional coordinates of all 5 atoms:
Na 0.0000 0.0000 0.5000  2 Ge 2.78
Ge 0.0000 0.0000 0.0000  4 Li 2.56, 2 Na 2.78
Li 0.5000 0.0000 0.0000  2 Ge 2.56
Li 0.0000 0.5000 0.0000  2 Ge 2.56
Ba 0.5000 0.5000 0.5000  4 Na 3.62, 8 Li 3.78

The energy relative to the elements comes out at -107 meV per atom.

***

Entry 19:
DFT (PBE) results for a relaxed Ba2NaLiGe crystal.

a b c (Å): 6.5686 6.5686 5.0719
angles (deg): 90.00 90.00 90.00
With the nearest neighbours (Å) after each atom.
Fractional coordinates of all 5 atoms:
Ba 0.0000 0.5000 0.0000  2 Ge 3.28
Ba 0.5000 0.0000 0.0000  2 Ge 3.28
Na 0.5000 0.5000 0.5000  8 Ba 4.15, 4 Li 4.64
Ge 0.0000 0.0000 0.0000  2 Li 2.54
Li 0.0000 0.0000 0.5000  2 Ge 2.54

The energy relative to the elements comes out at -165 meV per atom.

***

Entry 20:
DFT (PBE) results for a relaxed BaNaLiGe crystal.

a b c (Å): 5.2621 5.2621 5.2621
angles (deg): 60.00 60.00 60.00
With the nearest neighbours (Å) after each atom.
Fractional coordinates of all 4 atoms:
Na 0.0000 0.0000 0.0000  4 Ba 3.22, 4 Ge 3.22
Ge 0.2500 0.2500 0.2500  4 Na 3.22, 4 Li 3.22
Ba 0.7500 0.7500 0.7500  4 Na 3.22, 4 Li 3.22
Li 0.5000 0.5000 0.5000  4 Ge 3.22, 4 Ba 3.22

The energy relative to the elements comes out at -198 meV per atom.

***

Number 1: Fermi-level density of states 0.4421 states/eV per atom, E_tot -32.5 eV/cell, magnetic moment 0.000 μB per atom. Number 2: Fermi-level density of states 0.5362 states/eV per atom, E_tot -31.5 eV/cell, magnetic moment 0.092 μB per atom. Number 3: Fermi-level density of states 0.8821 states/eV per atom, E_tot -34.3 eV/cell, magnetic moment 0.000 μB per atom. Number 4: Fermi-level density of states 0.5814 states/eV per atom, E_tot -17.2 eV/cell, magnetic moment 0.000 μB per atom. Number 5: Fermi-level density of states 0.5610 states/eV per atom, E_tot -38.7 eV/cell, magnetic moment 0.000 μB per atom. Number 6: Fermi-level density of states 0.1928 states/eV per atom, E_tot -11.8 eV/cell, magnetic moment 0.000 μB per atom. Number 7: Fermi-level density of states 0.6895 states/eV per atom, E_tot -27.0 eV/cell, magnetic moment 0.000 μB per atom. Number 8: Fermi-level density of states 0.7922 states/eV per atom, E_tot -11.3 eV/cell, magnetic moment 0.000 μB per atom. Number 9: Fermi-level density of states 0.2216 states/eV per atom, E_tot -62.6 eV/cell, magnetic moment 0.000 μB per atom. Number 10: Fermi-level density of states 0.3747 states/eV per atom, E_tot -53.4 eV/cell, magnetic moment 0.000 μB per atom. Number 11: Fermi-level density of states 0.5808 states/eV per atom, E_tot -25.4 eV/cell, magnetic moment 0.000 μB per atom. Number 12: Fermi-level density of states 0.4609 states/eV per atom, E_tot -13.3 eV/cell, magnetic moment 0.147 μB per atom. Number 13: Fermi-level density of states 0.6583 states/eV per atom, E_tot -33.3 eV/cell, magnetic moment 0.000 μB per atom. Number 14: Fermi-level density of states 0.4618 states/eV per atom, E_tot -33.1 eV/cell, magnetic moment 0.000 μB per atom. Number 15: Fermi-level density of states 1.3328 states/eV per atom, E_tot -17.3 eV/cell, magnetic moment 0.067 μB per atom. Number 16: Fermi-level density of states 0.2886 states/eV per atom, E_tot -18.6 eV/cell, magnetic moment 0.000 μB per atom. Number 17: Fermi-level density of states 0.4619 states/eV per atom, E_tot -51.3 eV/cell, magnetic moment 0.000 μB per atom. Number 18: Fermi-level density of states 0.4903 states/eV per atom, E_tot -12.2 eV/cell, magnetic moment 0.094 μB per atom. Number 19: Fermi-level density of states 0.5402 states/eV per atom, E_tot -12.5 eV/cell, magnetic moment 0.000 μB per atom. Number 20: Fermi-level density of states 0.2243 states/eV per atom, E_tot -10.6 eV/cell, magnetic moment 0.000 μB per atom.